[1]
VASP calculation (PBE) on a relaxed structure of KSrTc.

Values from the calculation:
The calculation puts the formation energy at 352 kJ/mol of formula units. The value obtained for the relative energy among the computed polymorphs is 126 meV per atom. The value obtained for the magnetic moment is 1.9 Bohr magnetons per cell.

Lattice parameters (Å, degrees): 3.5284 3.5284 9.0896 90.00 90.00 120.00
Element x y z (fractional)
K: 0.0000 0.0000 0.0000
Sr: 0.6667 0.3333 0.4475
Tc: 0.3333 0.6667 0.7006

[2]
VASP calculation (PBE) on a relaxed structure of K3SrTc.

Values from the calculation:
The calculation puts the formation energy at 780 kJ/mol of formula units. The value obtained for the relative energy among the computed polymorphs is 324 meV per atom. The value obtained for the magnetic moment is 4.1 Bohr magnetons per cell.

Lattice parameters (Å, degrees): 7.5925 7.5925 7.5925 90.00 90.00 90.00
Element x y z (fractional)
K: 0.0000 0.0000 0.5000
K: 0.0000 0.5000 0.0000
K: 0.5000 0.0000 0.0000
Sr: 0.0000 0.0000 0.0000
Tc: 0.5000 0.5000 0.5000

[3]
VASP calculation (PBE) on a relaxed structure of KSr4Tc.

Values from the calculation:
The calculation puts the formation energy at 581 kJ/mol of formula units. The value obtained for the magnetic moment is 4.0 Bohr magnetons per cell.

Lattice parameters (Å, degrees): 7.5862 7.5862 7.5862 60.00 60.00 60.00
Element x y z (fractional)
K: 0.0000 0.0000 0.0000
Sr: 0.1283 0.6239 0.6239
Sr: 0.6239 0.1283 0.6239
Sr: 0.6239 0.6239 0.1283
Sr: 0.6239 0.6239 0.6239
Tc: 0.2500 0.2500 0.2500

[4]
VASP calculation (PBE) on a relaxed structure of KSrTc2.

Values from the calculation:
The calculation puts the formation energy at 688 kJ/mol of formula units. The value obtained for the relative energy among the computed polymorphs is 1268 meV per atom. The value obtained for the magnetic moment is 6.0 Bohr magnetons per cell.

Lattice parameters (Å, degrees): 5.3808 5.3808 5.3808 60.00 60.00 60.00
Element x y z (fractional)
K: 0.0000 0.0000 0.0000
Sr: 0.5000 0.5000 0.5000
Tc: 0.2500 0.2500 0.2500
Tc: 0.7500 0.7500 0.7500

[5]
VASP calculation (PBE) on a relaxed structure of KSrTc2.

Values from the calculation:
The calculation puts the formation energy at 503 kJ/mol of formula units. The value obtained for the relative energy among the computed polymorphs is 789 meV per atom. The value obtained for the magnetic moment is 0.0 Bohr magnetons per cell.

Lattice parameters (Å, degrees): 6.1490 6.1490 2.7875 90.00 90.00 127.29
Element x y z (fractional)
K: 0.0000 0.0000 0.0000
Sr: 0.5000 0.5000 0.0000
Tc: 0.0000 0.5000 0.5000
Tc: 0.5000 0.0000 0.5000

[6]
VASP calculation (PBE) on a relaxed structure of KSrTc.

Values from the calculation:
The calculation puts the formation energy at 361 kJ/mol of formula units. The value obtained for the relative energy among the computed polymorphs is 158 meV per atom. The value obtained for the magnetic moment is 0.7 Bohr magnetons per cell.

Lattice parameters (Å, degrees): 5.6420 5.6420 2.9346 90.00 90.00 120.00
Element x y z (fractional)
K: 0.0000 0.0000 0.0000
Sr: 0.3333 0.6667 0.9903
Tc: 0.6667 0.3333 0.4925

[7]
VASP calculation (PBE) on a relaxed structure of KSrTc2.

Values from the calculation:
The calculation puts the formation energy at 674 kJ/mol of formula units. The value obtained for the relative energy among the computed polymorphs is 1231 meV per atom. The value obtained for the magnetic moment is 7.1 Bohr magnetons per cell.

Lattice parameters (Å, degrees): 6.7956 6.7956 6.7956 98.93 98.93 133.58
Element x y z (fractional)
K: 0.0000 0.0000 0.0000
K: 0.7500 0.2500 0.5000
Sr: 0.2500 0.7500 0.5000
Sr: 0.5000 0.5000 0.0000
Tc: 0.1250 0.6250 0.0000
Tc: 0.3750 0.3750 0.5000
Tc: 0.6250 0.1250 0.0000
Tc: 0.8750 0.8750 0.5000

[8]
VASP calculation (PBE) on a relaxed structure of KSrTc2.

Values from the calculation:
The calculation puts the formation energy at 493 kJ/mol of formula units. The value obtained for the relative energy among the computed polymorphs is 763 meV per atom. The value obtained for the magnetic moment is 0.0 Bohr magnetons per cell.

Lattice parameters (Å, degrees): 2.7826 2.7826 11.1126 90.00 90.00 90.00
Element x y z (fractional)
K: 0.0000 0.0000 0.0000
Sr: 0.0000 0.0000 0.5000
Tc: 0.5000 0.5000 0.2630
Tc: 0.5000 0.5000 0.7370

[9]
VASP calculation (PBE) on a relaxed structure of KSrTc2.

Values from the calculation:
The calculation puts the formation energy at 235 kJ/mol of formula units. The value obtained for the relative energy among the computed polymorphs is 94 meV per atom. The value obtained for the magnetic moment is 0.0 Bohr magnetons per cell.

Lattice parameters (Å, degrees): 3.3052 3.3081 10.1477 90.00 90.26 90.00
Element x y z (fractional)
K: 0.0000 0.0000 0.0000
Sr: 0.4914 0.5000 0.4048
Tc: 0.4962 0.5000 0.7350
Tc: 0.9949 0.0000 0.6325

[10]
VASP calculation (PBE) on a relaxed structure of K3SrTc.

Values from the calculation:
The calculation puts the formation energy at 624 kJ/mol of formula units. The value obtained for the relative energy among the computed polymorphs is 0 meV per atom. The value obtained for the magnetic moment is 0.0 Bohr magnetons per cell.

Lattice parameters (Å, degrees): 6.2136 6.2136 6.2136 90.00 90.00 90.00
Element x y z (fractional)
K: 0.0000 0.0000 0.5000
K: 0.0000 0.5000 0.0000
K: 0.5000 0.0000 0.0000
Sr: 0.5000 0.5000 0.5000
Tc: 0.0000 0.0000 0.0000

[11]
VASP calculation (PBE) on a relaxed structure of KSrTc.

Values from the calculation:
The calculation puts the formation energy at 316 kJ/mol of formula units. The value obtained for the relative energy among the computed polymorphs is 0 meV per atom. The value obtained for the magnetic moment is 2.2 Bohr magnetons per cell.

Lattice parameters (Å, degrees): 8.8442 8.8442 8.8442 156.97 156.97 32.80
Element x y z (fractional)
K: 0.0000 0.0000 0.0000
Sr: 0.7408 0.7408 0.0000
Tc: 0.3552 0.3552 0.0000

[12]
VASP calculation (PBE) on a relaxed structure of KSrTc2.

Values from the calculation:
The calculation puts the formation energy at 493 kJ/mol of formula units. The value obtained for the relative energy among the computed polymorphs is 763 meV per atom. The value obtained for the magnetic moment is 0.0 Bohr magnetons per cell.

Lattice parameters (Å, degrees): 6.1490 6.1490 6.1490 142.97 142.97 53.37
Element x y z (fractional)
K: 0.0000 0.0000 0.0000
Sr: 0.5000 0.5000 0.0000
Tc: 0.2500 0.7500 0.5000
Tc: 0.7500 0.2500 0.5000